DFT (PBE) results for SrCd2InPt after structural relaxation.

Structure (CIF):
```
data_SrCd2InPt
_chemical_formula_sum 'Sr2 Cd4 In2 Pt2'
_cell_length_a 4.4407
_cell_length_b 4.4407
_cell_length_c 12.8167
_cell_angle_alpha 90.00
_cell_angle_beta 90.00
_cell_angle_gamma 90.00
_space_group_name_H-M_alt 'I 4 m m'
_space_group_IT_number 107
_space_group_name_Hall 'I 4 -2'
loop_
_atom_site_label
_atom_site_type_symbol
_atom_site_fract_x
_atom_site_fract_y
_atom_site_fract_z
_atom_site_occupancy
Sr1 Sr 0.0000 0.0000 0.0000 1
Cd1 Cd 0.0000 0.5000 0.2798 1
In1 In 0.0000 0.0000 0.6245 1
Pt1 Pt 0.0000 0.0000 0.4184 1
```

Output
The total energy is -2.901 eV per atom.